# 1
A geometry-optimized Li3Cd4In2 structure. Source: Alexandria, functional GGA-PBE.

- magnetization (μB/f.u.) = 0.0
- ΔE_f (eV/atom) = -0.17
- D(E_F) (states/eV/f.u.) = 2.20
- electronic total energy (eV/atom) = -1.824

abc: 10.0525 4.9151 9.1220
angles: 90.00 121.49 90.00
With the nearest neighbours (Å) after each atom.
Space group C2/m (No. 12)
Unique sites:
Li 0.0000 0.0000 0.0000  8 Cd 3.04-3.25, 2 Li 3.13
Li 0.1662 0.5000 0.6685  4 Cd 3.00-3.31, 4 In 3.03-3.26, 2 Li 3.13-3.14
Cd 0.0125 0.0000 0.3486  2 Cd 2.90-3.10, 3 In 2.91-3.18, 3 Li 3.00-3.12
Cd 0.1849 0.5000 0.0159  3 Cd 2.87-3.10, 2 In 2.92-3.12, 3 Li 3.04-3.08
In 0.1491 0.5000 0.3137  5 Cd 2.91-3.18, 4 Li 3.03-3.26



# 2
A geometry-optimized Nd5Er2In5 structure. Source: Alexandria, functional GGA-PBE.

- magnetization (μB/f.u.) = 0.0
- ΔE_f (eV/atom) = -0.31
- D(E_F) (states/eV/f.u.) = 12.83
- electronic total energy (eV/atom) = -4.200

abc: 11.7864 5.2637 12.1936
angles: 90.00 109.89 90.00
With the nearest neighbours (Å) after each atom.
Space group C2/m (No. 12)
Unique sites:
Nd 0.0000 0.0000 0.0000  8 In 3.43-3.73, 2 Nd 3.65
Nd 0.1368 0.0000 0.7729  5 In 3.22-3.42, 1 Nd 3.43, 3 Er 3.53-3.59
Nd 0.1559 0.0000 0.4986  3 In 3.19-3.21, 3 Nd 3.43, 1 Er 3.57
Er 0.0706 0.5000 0.2574  4 In 3.17-3.33, 2 Nd 3.53
In 0.0000 0.5000 0.5000  4 Nd 3.21, 2 Er 3.33, 2 In 3.51
In 0.1716 0.5000 0.9599  1 Er 3.17, 3 In 3.17-3.38, 5 Nd 3.27-3.45
In 0.2248 0.0000 0.2670  2 Er 3.18, 4 Nd 3.19-3.43, 2 In 3.38-3.51



# 3
A geometry-optimized Cu2NiAg structure. Source: Alexandria, functional GGA-PBE.

- magnetization (μB/f.u.) = 0.0
- ΔE_f (eV/atom) = 0.18
- D(E_F) (states/eV/f.u.) = 2.42
- electronic total energy (eV/atom) = -4.022

abc: 5.9547 5.9547 5.9547
angles: 90.00 90.00 90.00
With the nearest neighbours (Å) after each atom.
Space group F-43m (No. 216)
Unique sites:
Cu 0.0000 0.0000 0.0000  4 Cu 2.58, 4 Ag 2.58
Cu 0.2500 0.2500 0.2500  4 Ni 2.58, 4 Cu 2.58
Ni 0.0000 0.0000 0.5000  4 Ag 2.58, 4 Cu 2.58
Ag 0.2500 0.2500 0.7500  4 Ni 2.58, 4 Cu 2.58



# 4
A geometry-optimized ZnCrFe2N structure. Source: Alexandria, functional GGA-PBE.

- magnetization (μB/f.u.) = 6.6
- D(E_F) (states/eV/f.u.) = 5.97
- formation energy (no corrections) (eV per atom) = 1.7551
- electronic total energy (eV/atom) = -5.475

abc: 4.5575 4.5575 3.5177
angles: 90.00 90.00 90.00
With the nearest neighbours (Å) after each atom.
Space group P4/mmm (No. 123)
Unique sites:
Zn 0.0000 0.0000 0.0000  2 N 1.76
Cr 0.5000 0.5000 0.5000  8 Fe 2.88, 4 N 3.22
Fe 0.0000 0.5000 0.0000  2 Zn 2.28
N 0.0000 0.0000 0.5000  2 Zn 1.76



# 5
A geometry-optimized ReIrBr2 structure. Source: Alexandria, functional GGA-PBE.

- magnetization (μB/f.u.) = 1.0
- D(E_F) (states/eV/f.u.) = 3.45
- formation energy (no corrections) (eV per atom) = 0.7344
- electronic total energy (eV/atom) = -5.429

abc: 13.5306 3.0552 4.5858
angles: 90.00 96.40 90.00
With the nearest neighbours (Å) after each atom.
Space group C2/m (No. 12)
Unique sites:
Re 0.0000 0.0000 0.0000  4 Br 2.59, 4 Ir 2.76
Ir 0.0000 0.5000 0.5000  2 Br 2.49, 4 Re 2.76
Br 0.1451 0.5000 0.2107  1 Ir 2.49, 2 Re 2.59



# 6
A geometry-optimized ErSiRh2 structure. Source: Alexandria, functional GGA-PBE.

- magnetization (μB/f.u.) = 0.0
- D(E_F) (states/eV/f.u.) = 1.93
- formation energy (no corrections) (eV per atom) = -1.0402
- electronic total energy (eV/atom) = -7.212

abc: 5.5249 5.5249 15.0756
angles: 90.00 90.00 120.00
With the nearest neighbours (Å) after each atom.
Space group P6_3/mmc (No. 194)
Unique sites:
Er 0.3333 0.6667 0.0369  9 Rh 2.98-3.10, 1 Er 3.21, 3 Si 3.24
Er 0.3333 0.6667 0.2500  6 Si 3.19, 2 Er 3.21, 12 Rh 3.30
Si 0.0000 0.0000 0.0000  6 Rh 2.53
Si 0.0000 0.0000 0.2500  6 Rh 2.41
Si 0.3333 0.6667 0.7500  6 Rh 2.41
Rh 0.1668 0.3336 0.6299  3 Si 2.41-2.53



# 7
A geometry-optimized Sr2CrCo structure. Source: Alexandria, functional GGA-PBE.

- magnetization (μB/f.u.) = 3.5
- ΔE_f (eV/atom) = 0.46
- D(E_F) (states/eV/f.u.) = 4.21
- electronic total energy (eV/atom) = -4.562

abc: 4.1895 4.8620 11.4919
angles: 90.00 90.00 90.00
With the nearest neighbours (Å) after each atom.
Space group Amm2 (No. 38)
Unique sites:
Sr 0.0000 0.0000 0.0000  2 Co 3.20, 4 Cr 3.42
Sr 0.5000 0.0000 0.2865  2 Cr 3.22, 4 Co 3.43
Cr 0.5000 0.0000 0.6023  2 Co 2.28
Co 0.0000 0.0000 0.6814  2 Cr 2.28